Record 1
{
  "formula": "HfZn3Ni",
  "functional": "PBE",
  "state": "optimized geometry",
  "lattice_angstrom": [[4.416, 0.000, 0.000], [0.000, 4.416, 0.000], [0.000, 0.000, 4.416]],
  "species": ["Ni", "Zn", "Zn", "Zn", "Hf"],
  "fractional_positions": [[0.000, 0.000, 0.000], [0.000, 0.500, 0.000], [0.000, 0.000, 0.500], [0.500, 0.000, 0.000], [0.500, 0.500, 0.500]],
  "de_polymorph_mev_per_atom": 413,
  "sg": "Pm-3m (221)",
  "e_form_ev_per_atom": 0.222
}

***

Record 2
{
  "formula": "TbDy2Ag",
  "functional": "PBE",
  "state": "optimized geometry",
  "lattice_angstrom": [[3.565, 0.000, 0.000], [0.000, 3.565, 0.000], [0.000, 0.000, 8.865]],
  "species": ["Tb", "Ag", "Dy", "Dy"],
  "fractional_positions": [[0.500, 0.500, 0.500], [0.500, 0.500, 0.000], [0.000, 0.000, 0.785], [0.000, 0.000, 0.215]],
  "de_polymorph_mev_per_atom": 0,
  "sg": "P4/mmm (123)",
  "e_form_ev_per_atom": -0.130
}

***

Record 3
{
  "formula": "LaInGa2Co",
  "functional": "PBE",
  "state": "optimized geometry",
  "lattice_angstrom": [[-1.483, -0.801, -4.347], [-0.249, -4.563, 0.925], [-4.629, 0.552, 1.477]],
  "species": ["In", "Co", "Ga", "Ga", "La"],
  "fractional_positions": [[0.000, 0.000, 0.500], [0.000, 0.000, 0.000], [0.000, 0.500, 0.000], [0.500, 0.000, 0.000], [0.500, 0.500, 0.500]],
  "de_polymorph_mev_per_atom": 0,
  "sg": "P4/mmm (123)",
  "e_form_ev_per_atom": -0.351
}

***

Record 4
{
  "formula": "RbBaTaMo2",
  "functional": "PBE",
  "state": "optimized geometry",
  "lattice_angstrom": [[-2.076, 4.232, -1.417], [-5.672, -2.660, 0.363], [-0.356, 1.401, 4.706]],
  "species": ["Mo", "Mo", "Ba", "Rb", "Ta"],
  "fractional_positions": [[0.000, 0.000, 0.500], [0.500, 0.000, 0.000], [0.500, 0.500, 0.500], [0.000, 0.500, 0.000], [0.000, 0.000, 0.000]],
  "sg": "P4/mmm (123)",
  "e_form_ev_per_atom": 1.542
}

***

Record 5
{
  "formula": "LiTlP2Br",
  "functional": "PBE",
  "state": "optimized geometry",
  "lattice_angstrom": [[5.114, 0.000, 0.000], [0.000, 6.274, 0.000], [0.000, 0.000, 5.114]],
  "species": ["P", "P", "Tl", "Br", "Li"],
  "fractional_positions": [[0.000, 0.000, 0.500], [0.500, 0.000, 0.000], [0.000, 0.000, 0.000], [0.000, 0.500, 0.000], [0.500, 0.500, 0.500]],
  "sg": "P4/mmm (123)",
  "raw_formation_energy_ev_per_atom": 0.592
}

***

Record 6
{
  "formula": "Be3WC",
  "functional": "PBE",
  "state": "optimized geometry",
  "lattice_angstrom": [[-0.594, -2.221, -2.786], [-2.776, -1.482, 1.774], [-2.233, 2.433, -1.463]],
  "species": ["Be", "Be", "Be", "C", "W"],
  "fractional_positions": [[0.000, 0.500, 0.000], [0.000, 0.000, 0.500], [0.500, 0.000, 0.000], [0.000, 0.000, 0.000], [0.500, 0.500, 0.500]],
  "de_polymorph_mev_per_atom": 0,
  "sg": "Pm-3m (221)",
  "e_form_ev_per_atom": 0.761
}

***

no.,electronic total energy (eV/cell),magnetic moment (Bohr magnetons per cell)
1,-18.4,0.00
2,-17.2,0.00
3,-22.6,0.00
4,-28.7,0.01
5,-13.8,1.49
6,-29.6,0.00